Density functional theory data (PBE) for a relaxed structure of C2Se.

Computed properties:
ρ = 5.32 Mg/m³
M_tot = 0.00 μB/cell
distance to the lowest polymorph of the same formula = 1245 meV/atom
calculated volume = 129 Å³ per cell

The structure in CIF format:
```
data_C2Se
_symmetry_space_group_name_H-M 'P a -3'
_symmetry_Int_Tables_number 205
_symmetry_space_group_name_Hall '-P 2ac 2ab 3'
_cell_length_a 5.0465
_cell_length_b 5.0465
_cell_length_c 5.0465
_cell_angle_alpha 90.00
_cell_angle_beta 90.00
_cell_angle_gamma 90.00
loop_
_atom_site_label
_atom_site_type_symbol
_atom_site_fract_x
_atom_site_fract_y
_atom_site_fract_z
_atom_site_occupancy
C1 C 0.0782 0.0782 0.0782 1
Se1 Se 0.0000 0.0000 0.5000 1
```

=====

Density functional theory data (PBE) for a relaxed structure of C2Se.

Computed properties:
ρ = 4.75 Mg/m³
M_tot = 0.00 μB/cell
distance to the lowest polymorph of the same formula = 2852 meV/atom
calculated volume = 144 Å³ per cell

The structure in CIF format:
```
data_C2Se
_symmetry_space_group_name_H-M 'F m -3 m'
_symmetry_Int_Tables_number 225
_symmetry_space_group_name_Hall '-F 4 2 3'
_cell_length_a 5.2402
_cell_length_b 5.2402
_cell_length_c 5.2402
_cell_angle_alpha 90.00
_cell_angle_beta 90.00
_cell_angle_gamma 90.00
loop_
_atom_site_label
_atom_site_type_symbol
_atom_site_fract_x
_atom_site_fract_y
_atom_site_fract_z
_atom_site_occupancy
C1 C 0.2500 0.2500 0.2500 1
Se1 Se 0.0000 0.0000 0.0000 1
```

=====

Density functional theory data (PBE) for a relaxed structure of CSe.

Computed properties:
ρ = 5.15 Mg/m³
M_tot = 0.00 μB/cell
distance to the lowest polymorph of the same formula = 1525 meV/atom
calculated volume = 88 Å³ per cell

The structure in CIF format:
```
data_CSe
_symmetry_space_group_name_H-M 'P -6 2 m'
_symmetry_Int_Tables_number 189
_symmetry_space_group_name_Hall 'P -6 -2'
_cell_length_a 5.5328
_cell_length_b 5.5328
_cell_length_c 3.3165
_cell_angle_alpha 90.00
_cell_angle_beta 90.00
_cell_angle_gamma 120.00
loop_
_atom_site_label
_atom_site_type_symbol
_atom_site_fract_x
_atom_site_fract_y
_atom_site_fract_z
_atom_site_occupancy
C1 C 0.0000 0.0000 0.0000 1
C2 C 0.3333 0.6667 0.5000 1
Se1 Se 0.0000 0.3424 0.0000 1
```

=====

Density functional theory data (PBE) for a relaxed structure of CSe.

Computed properties:
ρ = 2.90 Mg/m³
M_tot = 0.00 μB/cell
distance to the lowest polymorph of the same formula = 531 meV/atom
calculated volume = 312 Å³ per cell

The structure in CIF format:
```
data_CSe
_symmetry_space_group_name_H-M 'C 1 m 1'
_symmetry_Int_Tables_number 8
_cell_length_a 10.4394
_cell_length_b 3.0099
_cell_length_c 9.9867
_cell_angle_alpha 90.00
_cell_angle_beta 95.79
_cell_angle_gamma 90.00
loop_
_symmetry_equiv_pos_as_xyz
'x,y,z'
'x,-y,z'
'x+1/2,y+1/2,z'
'x+1/2,-y+1/2,z'
loop_
_atom_site_label
_atom_site_type_symbol
_atom_site_fract_x
_atom_site_fract_y
_atom_site_fract_z
_atom_site_occupancy
C1 C 0.0000 0.0000 0.0000 1
C2 C 0.0658 0.0000 0.8917 1
C3 C 0.3914 0.5000 0.3455 1
Se1 Se 0.1225 0.5000 0.7941 1
Se2 Se 0.3785 0.0000 0.4598 1
Se3 Se 0.4430 0.0000 0.0994 1
```